Record 1
A plane-wave DFT calculation with PBE was carried out for a relaxed RbNdTeI crystal.

Cell: 4.532 4.531 9.340 Å, 90.01 104.04 119.99°
Fractional positions:
Rb1 0.485 0.140 0.640
Nd1 0.123 0.960 0.098
Te1 0.326 0.561 0.902
I1 0.944 0.370 0.329

Properties
Symmetry: No. 160
D(E_F), states/eV per atom: 0.690
Raw formation energy, meV per atom: -1220
Magnetization, μB/f.u.: 0.00


Record 2
A plane-wave DFT calculation with PBE was carried out for a relaxed SbMo2Pt crystal.

Cell: 5.032 5.032 4.522 Å, 79.03 79.03 38.19°
Fractional positions:
Sb1 0.250 0.250 0.250
Mo1 0.005 0.005 0.974
Mo2 0.495 0.495 0.526
Pt1 0.750 0.750 0.750

Properties
Symmetry: No. 12
D(E_F), states/eV per atom: 0.441
Raw formation energy, meV per atom: 93
Magnetization, μB/f.u.: 0.00


Record 3
A plane-wave DFT calculation with PBE was carried out for a relaxed Li2PmTc2N4 crystal.

Cell: 3.320 7.380 8.207 Å, 139.36 90.00 103.00°
Fractional positions:
N1 0.451 0.903 0.720
N2 0.549 0.097 0.280
N3 0.774 0.548 0.868
N4 0.226 0.452 0.132
Tc1 0.646 0.292 0.905
Tc2 0.354 0.708 0.095
Li1 0.142 0.285 0.551
Li2 0.858 0.715 0.449
Pm1 0.000 0.000 0.000

Properties
Symmetry: No. 12
D(E_F), states/eV per atom: 0.470
Raw formation energy, meV per atom: -429
Magnetization, μB/f.u.: 0.00


Record 4
A plane-wave DFT calculation with PBE was carried out for a relaxed SrP2PdSe8 crystal.

Cell: 6.188 6.188 9.013 Å, 90.00 90.00 120.00°
Fractional positions:
Se1 0.327 0.021 0.682
Se2 0.667 0.333 0.014
Se3 0.694 0.673 0.682
Se4 0.673 0.979 0.318
Se5 0.021 0.694 0.318
Se6 0.306 0.327 0.318
Se7 0.333 0.667 0.986
Se8 0.979 0.306 0.682
Pd1 0.000 0.000 0.500
P1 0.667 0.333 0.257
P2 0.333 0.667 0.743
Sr1 0.000 0.000 0.000

Properties
Symmetry: No. 147
D(E_F), states/eV per atom: 0.337
Raw formation energy, meV per atom: -364
Magnetization, μB/f.u.: 0.00


Record 5
A plane-wave DFT calculation with PBE was carried out for a relaxed PmGdPd4 crystal.

Cell: 5.487 5.487 5.487 Å, 60.00 60.00 60.00°
Last column: magnetic moment on the atom in μB.
Fractional positions:
Pd1 0.625 0.625 0.625  0.00
Pd2 0.625 0.625 0.124  0.00
Pd3 0.124 0.625 0.625  0.00
Pd4 0.625 0.124 0.625  0.00
Gd1 0.000 0.000 0.000  7.00
Pm1 0.250 0.250 0.250  0.00

Properties
Formation enthalpy at 0 K, meV/atom: -790
Symmetry: No. 216
D(E_F), states/eV per atom: 0.518
Magnetization, μB/f.u.: 7.09


Record 6
A plane-wave DFT calculation with PBE was carried out for a relaxed RbMg2Pb crystal.

Cell: 6.077 6.077 10.814 Å, 73.68 73.68 90.00°
Fractional positions:
Mg1 0.875 0.125 0.250
Mg2 0.875 0.125 0.750
Mg3 0.375 0.125 0.750
Mg4 0.875 0.625 0.250
Pb1 0.750 0.250 0.500
Pb2 0.000 0.000 0.000
Rb1 0.500 0.500 0.000
Rb2 0.250 0.750 0.500

Properties
Formation enthalpy at 0 K, meV/atom: 168
Symmetry: No. 141
D(E_F), states/eV per atom: 0.355
Magnetization, μB/f.u.: 0.00


Record 7
A plane-wave DFT calculation with PBE was carried out for a relaxed AcHo2Mg crystal.

Cell: 5.679 5.679 5.679 Å, 60.00 60.00 60.00°
Fractional positions:
Mg1 0.500 0.500 0.500
Ho1 0.750 0.750 0.750
Ho2 0.250 0.250 0.250
Ac1 0.000 0.000 0.000

Properties
Formation enthalpy at 0 K, meV/atom: 157
Symmetry: No. 225
Energy above the lowest structure with this stoichiometry, eV/f.u.: 0.61
D(E_F), states/eV per atom: 1.729
Magnetization, μB/f.u.: 0.01


Record 8
A plane-wave DFT calculation with PBE was carried out for a relaxed BaBe2HgF crystal.

Cell: 6.551 4.907 6.551 Å, 90.00 90.00 90.00°
Fractional positions:
F1 0.000 0.500 0.000
Ba1 0.000 0.000 0.000
Be1 0.500 0.000 0.000
Be2 0.000 0.000 0.500
Hg1 0.500 0.500 0.500

Properties
Symmetry: No. 123
D(E_F), states/eV per atom: 0.852
Raw formation energy, meV per atom: 269
Magnetization, μB/f.u.: 0.00


Record 9
A plane-wave DFT calculation with PBE was carried out for a relaxed LiPm2Mn crystal.

Cell: 3.581 3.581 8.074 Å, 90.00 90.00 90.00°
Last column: magnetic moment on the atom in μB.
Fractional positions:
Pm1 0.000 0.000 0.280  -0.25
Pm2 0.000 0.000 0.720  -0.25
Li1 0.500 0.500 0.000  0.00
Mn1 0.500 0.500 0.500  3.32

Properties
Formation enthalpy at 0 K, meV/atom: 155
Symmetry: No. 123
Energy above the lowest structure with this stoichiometry, eV/f.u.: 0.00
D(E_F), states/eV per atom: 1.069
Magnetization, μB/f.u.: 2.64


Record 10
A plane-wave DFT calculation with PBE was carried out for a relaxed Cd2CuRh crystal.

Cell: 5.416 5.416 5.416 Å, 146.02 130.16 61.70°
Fractional positions:
Cu1 0.489 0.489 0.000
Cd1 0.735 0.235 0.500
Cd2 0.009 0.009 0.000
Rh1 0.267 0.767 0.500

Properties
Formation enthalpy at 0 K, meV/atom: -21
Symmetry: No. 44
D(E_F), states/eV per atom: 0.350
Magnetization, μB/f.u.: 0.00


Record 11
A plane-wave DFT calculation with PBE was carried out for a relaxed Zr2GaAs2 crystal.

Cell: 7.425 7.425 3.621 Å, 90.00 90.00 90.00°
Fractional positions:
As1 0.646 0.854 0.500
As2 0.146 0.646 0.500
As3 0.854 0.354 0.500
As4 0.354 0.146 0.500
Zr1 0.346 0.846 0.000
Zr2 0.154 0.346 0.000
Zr3 0.846 0.654 0.000
Zr4 0.654 0.154 0.000
Ga1 0.000 0.000 0.000
Ga2 0.500 0.500 0.000

Properties
Formation enthalpy at 0 K, meV/atom: -726
Symmetry: No. 127
Energy above the lowest structure with this stoichiometry, eV/f.u.: 0.00
D(E_F), states/eV per atom: 0.432
Magnetization, μB/f.u.: 0.00


Record 12
A plane-wave DFT calculation with PBE was carried out for a relaxed Pr2Tm3ThTe6 crystal.

Cell: 4.281 9.088 10.060 Å, 107.60 102.29 90.00°
Fractional positions:
Te1 0.992 0.259 0.985
Te2 0.008 0.741 0.015
Te3 0.335 0.412 0.670
Te4 0.330 0.936 0.659
Te5 0.670 0.064 0.341
Te6 0.665 0.588 0.330
Th1 0.500 0.000 0.000
Tm1 0.832 0.172 0.664
Tm2 0.500 0.500 0.000
Tm3 0.168 0.828 0.336
Pr1 0.160 0.317 0.319
Pr2 0.840 0.683 0.681

Properties
Symmetry: No. 12
D(E_F), states/eV per atom: 0.603
Raw formation energy, meV per atom: -1236
Magnetization, μB/f.u.: 0.00